The following is a PBE+U calculation of crystalline Pm2CrSiO6 at its relaxed geometry, from Alexandria via LeMat-Bulk.

Summary:
- final energy (eV per cell) = -79.45

a = 4.2149 Å, b = 5.3861 Å, c = 5.3861 Å
α = 90.00°, β = 90.00°, γ = 90.00°
With the nearest neighbours (Å) after each atom.
Fractional coordinates of all 10 atoms:
Pm: 0.0442 0.5000 0.0000  4 O 2.40
Pm: 0.0442 0.0000 0.5000  4 O 2.40
Cr: 0.6133 0.5000 0.5000  6 O 2.04-2.17
Si: 0.6076 0.0000 0.0000  5 O 1.67-1.75
O: 0.6993 0.2240 0.2240  1 Si 1.75
O: 0.6993 0.2240 0.7760  1 Si 1.75
O: 0.1285 0.5000 0.5000  2 Cr 2.04-2.17
O: 0.2116 0.0000 0.0000  1 Si 1.67
O: 0.6993 0.7760 0.7760  1 Si 1.75
O: 0.6993 0.7760 0.2240  1 Si 1.75